Version one
Entry from the Alexandria database: a geometry-optimized SrLiPm structure (PBE-GGA).

## Properties
Volume, Å³ per cell: 211.6

a b c (Å): 9.4291 9.4291 5.8805
angles (deg): 90.00 90.00 156.13
Sites, in units of the cell vectors:
Sr  0.0855  0.9145  0.7500
Sr  0.9145  0.0855  0.2500
Li  0.4151  0.5849  0.7500
Li  0.5849  0.4151  0.2500
Pm  0.2288  0.7712  0.2500
Pm  0.7712  0.2288  0.7500

***

Version two
Entry from the Alexandria database: a geometry-optimized SrLiPm structure (PBE-GGA).

## Properties
Volume, Å³ per cell: 108.2

a b c (Å): 5.8579 5.8579 3.6422
angles (deg): 90.00 90.00 120.00
Sites, in units of the cell vectors:
Sr  0.0000  0.0000  0.0000
Li  0.3333  0.6667  0.7730
Pm  0.6667  0.3333  0.4208

***

Version three
Entry from the Alexandria database: a geometry-optimized SrLiPm structure (PBE-GGA).

## Properties
Volume, Å³ per cell: 105.8

a b c (Å): 7.4347 7.4347 7.4347
angles (deg): 149.46 149.46 43.73
Sites, in units of the cell vectors:
Sr  0.0000  0.0000  0.0000
Li  0.6596  0.6596  0.0000
Pm  0.2926  0.2926  0.0000

***

Which structure is most stable? version one, by 82 meV/atom over the runner-up.